(1)
! PBEsol LiTaWO6, relaxed; values from VASP
! crystal system = orthorhombic
! formation energy (no corrections) = -2.358 eV/atom
&SYSTEM
  ibrav = 0, nat = 18, ntyp = 4
/
ATOMIC_SPECIES
Li 6.94 Li.upf
Ta 180.95 Ta.upf
W 183.84 W.upf
O 16.00 O.upf
ATOMIC_POSITIONS angstrom
Li 7.269 4.200 2.990
Li 3.635 0.000 0.000
Ta 1.817 3.162 0.004
Ta 5.452 3.162 0.004
W 3.635 4.200 2.990
W 0.000 0.000 0.000
O 1.361 1.280 0.365
O 5.908 1.280 0.365
O 9.543 3.437 1.900
O 4.995 3.437 1.900
O 3.635 2.676 4.152
O 7.269 3.794 0.454
O 10.904 5.725 1.829
O 7.269 4.607 5.527
O 4.995 4.964 4.081
O 8.630 7.121 5.616
O 13.177 7.121 5.616
O 9.543 4.964 4.081
CELL_PARAMETERS angstrom
7.269 0.000 0.000
3.635 6.324 0.008
3.635 2.077 5.973

(2)
! PBEsol TlMoPb2, relaxed; values from VASP
! crystal system = orthorhombic
! calculated formation energy = 0.46 eV/atom
&SYSTEM
  ibrav = 0, nat = 4, ntyp = 3
/
ATOMIC_SPECIES
Mo 95.94 Mo.upf
Pb 207.20 Pb.upf
Tl 204.38 Tl.upf
ATOMIC_POSITIONS angstrom
Mo 1.525 0.000 0.000
Pb 1.525 2.446 4.353
Pb 0.000 0.000 2.506
Tl 0.000 2.446 0.000
CELL_PARAMETERS angstrom
3.049 0.000 0.000
0.000 4.891 0.000
-1.525 -2.446 6.859

(3)
! PBEsol Y3Zn11, relaxed; values from VASP
! crystal system = orthorhombic
! calculated formation energy = -0.36 eV/atom
&SYSTEM
  ibrav = 0, nat = 14, ntyp = 2
/
ATOMIC_SPECIES
Y 88.91 Y.upf
Zn 65.41 Zn.upf
ATOMIC_POSITIONS angstrom
Y 0.000 0.000 0.000
Y 4.297 3.078 2.100
Y 4.297 7.398 5.048
Zn 2.148 5.238 3.574
Zn 4.297 6.141 2.250
Zn 4.297 4.335 4.898
Zn 6.445 8.137 7.027
Zn 2.148 2.339 0.120
Zn 6.445 9.511 5.014
Zn 2.148 0.965 2.134
Zn 6.445 5.625 6.137
Zn 2.148 4.850 1.011
Zn 6.445 7.766 3.000
Zn 2.148 2.710 4.148
CELL_PARAMETERS angstrom
4.297 0.000 0.000
2.148 7.698 -0.033
2.148 2.777 7.180

(4)
! PBEsol Os3Rh, relaxed; values from VASP
! crystal system = orthorhombic
! calculated formation energy = 0.11 eV/atom
&SYSTEM
  ibrav = 0, nat = 4, ntyp = 2
/
ATOMIC_SPECIES
Os 190.23 Os.upf
Rh 102.91 Rh.upf
ATOMIC_POSITIONS angstrom
Os 0.000 0.000 0.000
Os 1.343 -0.790 2.201
Os 1.343 2.338 -0.001
Rh 0.000 1.548 2.200
CELL_PARAMETERS angstrom
2.686 0.000 0.000
0.000 4.677 -0.001
0.000 -1.580 4.402

(5)
! PBEsol RbAlIN2, relaxed; values from VASP
! crystal system = tetragonal
! formation energy (no corrections) = 0.606 eV/atom
&SYSTEM
  ibrav = 0, nat = 5, ntyp = 4
/
ATOMIC_SPECIES
I 126.90 I.upf
Al 26.98 Al.upf
Rb 85.47 Rb.upf
N 14.01 N.upf
ATOMIC_POSITIONS angstrom
I -1.707 1.787 1.303
Al 0.000 0.000 0.000
Rb -4.093 0.097 0.496
N -1.057 -1.648 0.876
N -1.329 -0.042 -1.683
CELL_PARAMETERS angstrom
-2.659 -0.084 -3.366
-2.115 -3.297 1.752
-3.413 3.575 2.607

(6)
! PBEsol CaOsRu3, relaxed; values from VASP
! crystal system = cubic
! calculated formation energy = 1.19 eV/atom
&SYSTEM
  ibrav = 0, nat = 5, ntyp = 3
/
ATOMIC_SPECIES
Ru 101.07 Ru.upf
Ca 40.08 Ca.upf
Os 190.23 Os.upf
ATOMIC_POSITIONS angstrom
Ru 0.000 2.332 0.000
Ru 0.000 0.000 2.332
Ru 2.332 0.000 0.000
Ca 2.332 2.332 2.332
Os 0.000 0.000 0.000
CELL_PARAMETERS angstrom
4.663 0.000 0.000
0.000 4.663 0.000
0.000 0.000 4.663

no.,calculated total energy (Ry per atom)
1,-0.66181
2,-0.37764
3,-0.22531
4,-0.81469
5,-0.30729
6,-0.57179